Computed, not measured: crystalline TlHg4Cl8 at its relaxed geometry at the PBE-GGA level of DFT.

Unit cell a=7.870 b=8.223 c=8.447 alpha=111.64 beta=92.13 gamma=110.60
Space group P-1 (No. 2)
Symmetry-distinct sites (fractional):
Tl 0.000 0.000 0.000 (multiplicity 1)
Hg 0.441 0.718 0.016 (multiplicity 2)
Hg 0.456 0.736 0.516 (multiplicity 2)
Cl 0.277 0.793 0.818 (multiplicity 2)
Cl 0.285 0.306 0.857 (multiplicity 2)
Cl 0.292 0.813 0.308 (multiplicity 2)
Cl 0.300 0.322 0.339 (multiplicity 2)

Values from the calculation:
* total energy: -25.6 eV per cell
* spin magnetization: 0.00 μB per formula unit
* formation energy without anion corrections: -0.556 eV/atom